No. 1
Density functional theory data (PBE-GGA) for TaFeCo2 after structural relaxation.

Calculated values
E in eV per atom: -8.39
Relative energy among the computed polymorphs in eV per atom: 0.420
ρ in g/cm³: 11.17
Size of the total moment in μB/f.u.: 4.90
Crystal system: trigonal
Formation energy from the elements in eV per atom: 0.25

Cell: 2.6885 2.6885 25.2687 Å, 90.00 90.00 120.00°
Last column: nearest neighbours and their distance in Å.
Atoms (fractional coordinates):
Ta1 0.0000 0.0000 0.0000  6 Ta 2.69, 3 Co 2.73, 3 Fe 2.79
Ta2 0.3333 0.6667 0.6667  6 Ta 2.69, 3 Co 2.73, 3 Fe 2.79
Ta3 0.6667 0.3333 0.3333  6 Ta 2.69, 3 Co 2.73, 3 Fe 2.79
Fe1 0.0000 0.0000 0.2416  3 Co 2.48, 6 Fe 2.69
Fe2 0.3333 0.6667 0.9083  3 Co 2.48, 6 Fe 2.69
Fe3 0.6667 0.3333 0.5750  3 Co 2.48, 6 Fe 2.69
Co1 0.0000 0.0000 0.4985  9 Co 2.47-2.69, 3 Fe 2.48
Co2 0.0000 0.0000 0.7557  9 Co 2.47-2.69, 3 Ta 2.73
Co3 0.3333 0.6667 0.1652  9 Co 2.47-2.69, 3 Fe 2.48
Co4 0.3333 0.6667 0.4223  9 Co 2.47-2.69, 3 Ta 2.73
Co5 0.6667 0.3333 0.0890  9 Co 2.47-2.69, 3 Ta 2.73
Co6 0.6667 0.3333 0.8318  9 Co 2.47-2.69, 3 Fe 2.48

=====

No. 2
Density functional theory data (PBE-GGA) for Pa2Ni3Ge4Rh after structural relaxation.

Calculated values
E in eV per atom: -6.85
ρ in g/cm³: 10.38
Size of the total moment in μB/f.u.: 0.00
Crystal system: tetragonal
Formation energy from the elements in eV per atom: -0.63

Cell: 4.1573 4.1573 9.5485 Å, 90.00 90.00 90.00°
Last column: nearest neighbours and their distance in Å.
Atoms (fractional coordinates):
Pa1 0.0000 0.5000 0.2495  8 Ge 3.13-3.17, 2 Rh 3.16, 6 Ni 3.16-3.19
Pa2 0.5000 0.0000 0.7505  8 Ge 3.13-3.17, 6 Ni 3.16-3.19, 2 Rh 3.16
Ni1 0.0000 0.0000 0.0000  4 Ge 2.46
Ni2 0.0000 0.5000 0.6207  5 Ge 2.30-2.38
Ni3 0.5000 0.0000 0.3793  5 Ge 2.30-2.38
Ge1 0.0000 0.0000 0.5000  4 Ni 2.38
Ge2 0.0000 0.5000 0.8616  3 Ni 2.30-2.46, 2 Rh 2.46
Ge3 0.5000 0.0000 0.1384  3 Ni 2.30-2.46, 2 Rh 2.46
Ge4 0.5000 0.5000 0.5000  4 Ni 2.38
Rh1 0.5000 0.5000 0.0000  4 Ge 2.46